(1)
{"formula": "BaY3Zn", "functional": "PBE", "state": "relaxed", "lattice": [[5.642, 0.000, 0.000], [0.000, 5.642, 0.000], [0.000, 0.000, 5.642]], "species": ["Zn", "Y", "Y", "Y", "Ba"], "frac_coords": [[0.000, 0.000, 0.000], [0.000, 0.500, 0.000], [0.500, 0.000, 0.000], [0.000, 0.000, 0.500], [0.500, 0.500, 0.500]], "e_above_lowest_polymorph_ev_per_fu": 0.00, "final_energy_ry_per_atom": -0.3238, "ef_ev_per_atom": 0.1120, "total_magnetization_mub_per_atom": 0.000, "spacegroup": "No. 221"}

(2)
{"formula": "ScMo2Pb", "functional": "PBE", "state": "relaxed", "lattice": [[4.858, 0.000, 0.000], [0.000, 3.005, -0.001], [0.000, 0.617, 5.448]], "species": ["Mo", "Mo", "Pb", "Sc"], "frac_coords": [[0.000, 0.421, 0.542], [0.000, 0.079, 0.958], [0.500, 0.250, 0.250], [0.500, 0.750, 0.750]], "final_energy_ry_per_atom": -0.5594, "ef_ev_per_atom": 0.3140, "total_magnetization_mub_per_atom": 0.000, "spacegroup": "No. 10"}

(3)
{"formula": "Li2LaGaO", "functional": "PBE", "state": "relaxed", "lattice": [[4.456, 0.000, 0.000], [0.000, 4.456, 0.000], [0.000, 0.000, 4.761]], "species": ["Ga", "La", "Li", "Li", "O"], "frac_coords": [[0.500, 0.500, 0.500], [0.000, 0.000, 0.500], [0.500, 0.000, 0.000], [0.000, 0.500, 0.000], [0.000, 0.000, 0.000]], "final_energy_ry_per_atom": -0.3287, "e_form_raw_kcal_per_mol_atoms": -25.934, "total_magnetization_mub_per_atom": 0.283, "spacegroup": "No. 123"}

(4)
{"formula": "KNp2Ag3S6", "functional": "PBE", "state": "relaxed", "lattice": [[4.083, 0.000, 0.000], [0.000, 9.210, 1.072], [-2.042, -1.773, 7.631]], "species": ["S", "S", "S", "S", "S", "S", "Ag", "Ag", "Ag", "Np", "Np", "K"], "frac_coords": [[0.309, 0.839, 0.618], [0.691, 0.161, 0.382], [0.997, 0.727, 0.994], [0.003, 0.273, 0.006], [0.334, 0.462, 0.669], [0.666, 0.538, 0.331], [0.844, 0.255, 0.687], [0.156, 0.745, 0.313], [0.500, 0.500, 0.000], [0.167, 0.340, 0.334], [0.833, 0.660, 0.666], [0.500, 0.000, 0.000]], "final_energy_ry_per_atom": -0.4288, "e_form_raw_kcal_per_mol_atoms": -18.658, "total_magnetization_mub_per_atom": 0.500, "spacegroup": "No. 12"}

(5)
{"formula": "KNpTe3Pd", "functional": "PBE", "state": "relaxed", "lattice": [[4.395, 0.000, 0.000], [0.000, 9.520, -0.435], [0.000, -2.930, 9.835]], "species": ["Te", "Te", "Te", "Te", "Te", "Te", "K", "K", "Np", "Np", "Pd", "Pd"], "frac_coords": [[0.750, 0.893, 0.131], [0.750, 0.460, 0.162], [0.750, 0.214, 0.534], [0.250, 0.107, 0.869], [0.250, 0.786, 0.466], [0.250, 0.540, 0.838], [0.250, 0.204, 0.248], [0.750, 0.796, 0.752], [0.250, 0.687, 0.157], [0.750, 0.313, 0.843], [0.250, 0.086, 0.592], [0.750, 0.914, 0.408]], "final_energy_ry_per_atom": -0.4025, "e_form_raw_kcal_per_mol_atoms": -16.163, "total_magnetization_mub_per_atom": 0.484, "spacegroup": "No. 11"}

(6)
{"formula": "Sc5Tl2Sn2", "functional": "PBE", "state": "relaxed", "lattice": [[7.653, 0.000, 0.000], [0.000, 7.775, 0.000], [0.000, -3.888, 7.379]], "species": ["Tl", "Tl", "Tl", "Tl", "Sc", "Sc", "Sc", "Sc", "Sc", "Sc", "Sc", "Sc", "Sc", "Sc", "Sn", "Sn", "Sn", "Sn"], "frac_coords": [[0.366, 0.135, 0.000], [0.134, 0.635, 0.000], [0.634, 0.865, 0.000], [0.866, 0.365, 0.000], [0.170, 0.468, 0.278], [0.830, 0.532, 0.722], [0.330, 0.968, 0.278], [0.170, 0.190, 0.722], [0.670, 0.310, 0.278], [0.330, 0.690, 0.722], [0.000, 0.000, 0.000], [0.500, 0.500, 0.000], [0.830, 0.810, 0.278], [0.670, 0.032, 0.722], [0.500, 0.293, 0.586], [0.000, 0.793, 0.586], [0.000, 0.207, 0.414], [0.500, 0.707, 0.414]], "final_energy_ry_per_atom": -0.3947, "ef_ev_per_atom": -0.4370, "total_magnetization_mub_per_atom": 0.000, "spacegroup": "No. 64"}

(7)
{"formula": "TiSiBr2", "functional": "PBE", "state": "relaxed", "lattice": [[-9.208, -0.737, -2.213], [2.301, -1.416, -9.106], [-3.354, -3.559, -5.248]], "species": ["Si", "Si", "Br", "Br", "Br", "Br", "Ti", "Ti"], "frac_coords": [[0.250, 0.750, 0.500], [0.500, 0.500, 0.000], [0.375, 0.217, 0.750], [0.875, 0.033, 0.750], [0.967, 0.625, 0.250], [0.783, 0.125, 0.250], [0.000, 0.000, 0.000], [0.750, 0.250, 0.500]], "e_above_lowest_polymorph_ev_per_fu": 0.28, "final_energy_ry_per_atom": -0.3141, "e_form_raw_kcal_per_mol_atoms": -2.488, "total_magnetization_mub_per_atom": 0.336, "spacegroup": "No. 122"}

Number 1: N(E_F) 5.9 states/eV/cell. Number 2: N(E_F) 3.7 states/eV/cell. Number 3: N(E_F) 3.2 states/eV/cell. Number 4: N(E_F) 13.8 states/eV/cell. Number 5: N(E_F) 23.9 states/eV/cell. Number 6: N(E_F) 11.5 states/eV/cell. Number 7: N(E_F) 12.1 states/eV/cell.